(1)
Compound: ZnFeSi2Ag
Source: the Alexandria database
Functional: PBE
Structure: optimized geometry

POSCAR file:
```
ZnFeSi2Ag
1.0
4.589 0.000 0.000
0.000 4.589 0.000
0.000 0.000 4.788
Zn Fe Si Ag
1 1 2 1
direct
0.000 0.000 0.000 Zn
0.500 0.500 0.500 Fe
0.000 0.500 0.000 Si
0.500 0.000 0.000 Si
0.000 0.000 0.500 Ag
```

The calculation puts the formation energy (no corrections) at 1.165 eV/atom.

(2)
Compound: Sm2FeAg
Source: the Alexandria database
Functional: PBE
Structure: optimized geometry

POSCAR file:
```
Sm2FeAg
1.0
3.489 0.000 0.000
0.000 3.489 0.000
0.000 0.000 7.555
Sm Fe Ag
2 1 1
direct
0.000 0.000 0.222 Sm
0.000 0.000 0.778 Sm
0.500 0.500 0.000 Fe
0.500 0.500 0.500 Ag
```

For the energy above the lowest structure with this stoichiometry, the calculation gives 0.00 eV/f.u.

(3)
Compound: Sm4FeAg
Source: the Alexandria database
Functional: PBE
Structure: optimized geometry

POSCAR file:
```
Sm4FeAg
1.0
4.314 -6.297 0.000
4.314 6.297 0.000
-1.690 0.000 5.984
Sm Fe Ag
8 2 2
direct
0.061 0.732 0.963 Sm
0.211 0.374 0.593 Sm
0.268 0.939 0.537 Sm
0.374 0.211 0.093 Sm
0.626 0.789 0.907 Sm
0.732 0.061 0.463 Sm
0.789 0.626 0.407 Sm
0.939 0.268 0.037 Sm
0.001 0.999 0.750 Fe
0.999 0.001 0.250 Fe
0.372 0.628 0.250 Ag
0.628 0.372 0.750 Ag
```

(4)
Compound: Sm2FeAg
Source: the Alexandria database
Functional: PBE
Structure: optimized geometry

POSCAR file:
```
Sm2FeAg
1.0
0.000 3.595 3.595
3.595 0.000 3.595
3.595 3.595 0.000
Sm Fe Ag
2 1 1
direct
0.250 0.250 0.250 Sm
0.750 0.750 0.750 Sm
0.000 0.000 0.000 Fe
0.500 0.500 0.500 Ag
```

For the energy above the lowest structure with this stoichiometry, the calculation gives 0.31 eV/f.u.

(5)
Compound: SmFe4Ag
Source: the Alexandria database
Functional: PBE
Structure: optimized geometry

POSCAR file:
```
SmFe4Ag
1.0
0.000 3.600 3.600
3.600 0.000 3.600
3.600 3.600 0.000
Sm Fe Ag
1 4 1
direct
0.000 0.000 0.000 Sm
0.126 0.625 0.625 Fe
0.625 0.126 0.625 Fe
0.625 0.625 0.126 Fe
0.625 0.625 0.625 Fe
0.250 0.250 0.250 Ag
```

(6)
Compound: Sm3FeAg
Source: the Alexandria database
Functional: PBE
Structure: optimized geometry

POSCAR file:
```
Sm3FeAg
1.0
5.194 0.000 0.000
0.000 5.194 0.000
0.000 0.000 5.194
Sm Fe Ag
3 1 1
direct
0.000 0.000 0.500 Sm
0.000 0.500 0.000 Sm
0.500 0.000 0.000 Sm
0.000 0.000 0.000 Fe
0.500 0.500 0.500 Ag
```

For the energy above the lowest structure with this stoichiometry, the calculation gives 0.98 eV/f.u.

(7)
Compound: Sm2FeAg
Source: the Alexandria database
Functional: PBE
Structure: optimized geometry

POSCAR file:
```
Sm2FeAg
1.0
1.614 0.932 10.698
-1.614 0.932 10.698
0.000 -1.864 10.698
Sm Fe Ag
2 1 1
direct
0.084 0.084 0.084 Sm
0.916 0.916 0.916 Sm
0.000 0.000 0.000 Fe
0.500 0.500 0.500 Ag
```

For the energy above the lowest structure with this stoichiometry, the calculation gives 2.45 eV/f.u.

(8)
Compound: Sm3FeAg
Source: the Alexandria database
Functional: PBE
Structure: optimized geometry

POSCAR file:
```
Sm3FeAg
1.0
8.225 -1.856 0.000
8.225 1.856 0.000
-0.123 0.000 8.554
Sm Fe Ag
6 2 2
direct
0.060 0.060 0.293 Sm
0.241 0.241 0.697 Sm
0.402 0.402 0.058 Sm
0.598 0.598 0.942 Sm
0.759 0.759 0.303 Sm
0.940 0.940 0.707 Sm
0.219 0.219 0.052 Fe
0.781 0.781 0.948 Fe
0.408 0.408 0.428 Ag
0.592 0.592 0.572 Ag
```

For the energy above the lowest structure with this stoichiometry, the calculation gives 0.00 eV/f.u.

| no. | total DFT energy (no corrections) (eV per formula unit) | DOS(E_F) (states/eV/f.u.) |
| --- | --- | --- |
| 1 | -17.61 | 6.48 |
| 2 | -20.89 | 4.57 |
| 3 | -30.52 | 6.38 |
| 4 | -20.58 | 7.41 |
| 5 | -40.84 | 4.85 |
| 6 | -24.84 | 6.41 |
| 7 | -18.45 | 4.60 |
| 8 | -25.82 | 5.06 |